(1)
Computed, not measured: a geometry-optimized LaHoCu structure at the PBE level of DFT.

The structure in POSCAR format:
```
LaHoCu
1.0
-1.1636 3.2525 0.8968
-1.8248 -1.4047 2.7265
6.4879 -0.1665 1.9206
Cu Ho La
1 1 1
Direct
0.6816 0.6816 0.3631
0.2976 0.2976 0.5952
0.0208 0.0208 0.0416
```

(2)
Computed, not measured: a geometry-optimized LaHoCu structure at the PBE level of DFT.

The structure in POSCAR format:
```
LaHoCu
1.0
-0.6734 -0.4073 3.6099
3.3610 -0.7353 -1.3468
1.9178 6.7213 1.1161
La Ho Cu
1 1 1
Direct
0.0000 0.0000 0.0412
0.3333 0.6667 0.6126
0.6667 0.3333 0.3462
```

Question: which arrangement is favored energetically? Ranking from most to least stable: (1), (2).

(1)
Computed, not measured: a geometry-optimized LaHoCuPd structure at the PBE level of DFT.

The structure in POSCAR format:
```
LaHoCuPd
1.0
-3.0852 2.2828 0.4254
-2.0111 -3.2078 2.6287
3.7542 1.0370 4.1377
Cu Ho La Pd
1 1 1 1
Direct
0.5790 0.5000 0.1580
0.1352 0.0000 0.2704
0.8591 0.5000 0.7181
0.4267 0.0000 0.8534
```

(2)
Computed, not measured: a geometry-optimized LaHoCuPd structure at the PBE level of DFT.

The structure in POSCAR format:
```
LaHoCuPd
1.0
-3.8926 -0.8115 3.1417
0.8634 -1.3236 4.8150
-0.9630 3.2799 3.7411
Pd Ho Cu La
1 1 1 1
Direct
0.7500 0.7500 0.7500
0.0000 0.0000 0.0000
0.2500 0.2500 0.2500
0.5000 0.5000 0.5000
```

Question: which arrangement is favored energetically? Ranking from most to least stable: (1), (2).

(1)
Computed, not measured: a geometry-optimized LiHoCu structure at the PBE level of DFT.

The structure in POSCAR format:
```
LiHoCu
1.0
-3.4349 0.1098 0.7280
0.0167 -3.4611 0.6010
2.6869 2.4608 3.8303
Ho Cu Li
1 1 1
Direct
0.9381 0.9381 0.8762
0.2735 0.2735 0.5470
0.6384 0.6384 0.2768
```

(2)
Computed, not measured: a geometry-optimized LiHoCu structure at the PBE level of DFT.

The structure in POSCAR format:
```
LiHoCu
1.0
-2.2251 -2.2869 1.2740
3.3039 -2.0094 2.1635
-2.2538 3.2791 1.9499
Cu Li Ho
1 1 1
Direct
0.1664 0.3333 0.6667
0.1669 0.0000 0.0000
0.6667 0.6667 0.3333
```

Question: which arrangement is favored energetically? Ranking from most to least stable: (1), (2).

(1)
Computed, not measured: a geometry-optimized LiHoCu2 structure at the PBE level of DFT.

The structure in POSCAR format:
```
LiHoCu2
1.0
4.2700 0.0000 0.0000
2.1350 3.6979 0.0000
2.1350 1.2326 4.4609
Ho Cu Li
1 2 1
Direct
0.0000 0.0000 0.0000
0.7903 0.7903 0.6291
0.2097 0.2097 0.3709
0.5000 0.5000 0.5000
```

(2)
Computed, not measured: a geometry-optimized LiHoCu2 structure at the PBE level of DFT.

The structure in POSCAR format:
```
LiHoCu2
1.0
-3.9106 2.4784 0.0106
-3.1241 -0.6194 3.3603
-0.6476 3.2889 3.1936
Ho Cu Li
1 2 1
Direct
0.0000 0.0000 0.0000
0.2500 0.2500 0.2500
0.7500 0.7500 0.7500
0.5000 0.5000 0.5000
```

Question: which arrangement is favored energetically? Ranking from most to least stable: (1), (2).

(1)
Computed, not measured: a geometry-optimized LiHoCu2 structure at the PBE level of DFT.

The structure in POSCAR format:
```
LiHoCu2
1.0
3.3370 0.0000 0.0000
0.0000 3.3370 0.0000
0.0000 0.0000 6.1450
Cu Li Ho
2 1 1
Direct
0.0000 0.0000 0.7925
0.0000 0.0000 0.2075
0.5000 0.5000 0.0000
0.5000 0.5000 0.5000
```

(2)
Computed, not measured: a geometry-optimized LiHoCu2 structure at the PBE level of DFT.

The structure in POSCAR format:
```
LiHoCu2
1.0
-1.2403 -1.4210 -2.7359
0.1910 -4.1439 2.0657
-4.2950 0.6137 1.6283
Cu Li Ho
2 1 1
Direct
0.0000 0.5000 0.0000
0.0000 0.0000 0.5000
0.5000 0.5000 0.5000
0.5000 0.0000 0.0000
```

Question: which arrangement is favored energetically? Ranking from most to least stable: (1), (2).

(1)
Computed, not measured: a geometry-optimized LiHo2CuSi4O12 structure at the PBE level of DFT.

The structure in POSCAR format:
```
LiHo2CuSi4O12
1.0
-5.0588 -0.0130 -0.0277
1.6037 6.9508 -0.0745
-0.6623 -3.1365 -6.9702
O Ho Si Li Cu
12 2 4 1 1
Direct
0.2294 0.9249 0.3629
0.7284 0.9925 0.1954
0.1530 0.5560 0.6489
0.4393 0.3333 0.6975
0.3159 0.2829 0.2203
0.6736 0.7397 0.7673
0.2726 0.0183 0.8019
0.7802 0.0761 0.6275
0.7074 0.3369 0.9836
0.5828 0.6744 0.3004
0.8633 0.4423 0.3339
0.3149 0.6446 0.0136
0.9789 0.7813 0.5651
0.0316 0.2177 0.4293
0.4008 0.5823 0.7830
0.4658 0.8251 0.2190
0.6063 0.4226 0.2113
0.5479 0.1759 0.7753
0.0920 0.3813 0.0751
0.9829 0.9623 0.9804
```

(2)
Computed, not measured: a geometry-optimized LiHo2CuSi4O12 structure at the PBE level of DFT.

The structure in POSCAR format:
```
LiHo2CuSi4O12
1.0
-5.2529 0.0088 -0.1115
1.6880 6.9534 -0.1639
-0.7183 -3.1212 -6.8825
O Cu Ho Si Li
12 1 2 4 1
Direct
0.6552 0.7357 0.7524
0.3612 0.2744 0.2658
0.7444 0.0833 0.6206
0.2504 0.0192 0.8049
0.1437 0.5620 0.6581
0.6716 0.3292 0.9828
0.8539 0.4340 0.3487
0.3266 0.6588 0.0158
0.4208 0.3338 0.6933
0.7288 0.9941 0.2084
0.5931 0.6651 0.2971
0.2549 0.9251 0.3733
0.9836 0.0022 0.0017
0.0333 0.2298 0.4414
0.9749 0.7765 0.5689
0.6182 0.4175 0.2150
0.4737 0.8120 0.2180
0.3909 0.5879 0.7840
0.5210 0.1765 0.7804
0.5276 0.1864 0.4194
```

Question: which arrangement is favored energetically? Ranking from most to least stable: (1), (2).

(1)
Computed, not measured: a geometry-optimized Ho2LuCu structure at the PBE level of DFT.

The structure in POSCAR format:
```
Ho2LuCu
1.0
3.4537 0.0000 0.0000
0.0000 3.4537 0.0000
0.0000 0.0000 8.5724
Ho Lu Cu
2 1 1
Direct
0.0000 0.0000 0.2019
0.0000 0.0000 0.7981
0.5000 0.5000 0.5000
0.5000 0.5000 0.0000
```

(2)
Computed, not measured: a geometry-optimized Ho2LuCu structure at the PBE level of DFT.

The structure in POSCAR format:
```
Ho2LuCu
1.0
3.5261 0.0000 0.0000
1.7630 3.0537 0.0000
1.7630 1.0179 9.8170
Cu Ho Lu
1 2 1
Direct
0.0000 0.0000 0.0000
0.7364 0.7364 0.7909
0.2636 0.2636 0.2092
0.5000 0.5000 0.5000
```

Question: which arrangement is favored energetically? Ranking from most to least stable: (1), (2).

(1)
Computed, not measured: a geometry-optimized HoLu2Cu structure at the PBE level of DFT.

The structure in POSCAR format:
```
HoLu2Cu
1.0
3.5371 0.0000 0.0000
1.7685 3.0632 0.0000
1.7685 1.0211 9.6574
Ho Lu Cu
1 2 1
Direct
0.5000 0.5000 0.5000
0.7342 0.7342 0.7974
0.2658 0.2658 0.2026
0.0000 0.0000 0.0000
```

(2)
Computed, not measured: a geometry-optimized HoLu2Cu structure at the PBE level of DFT.

The structure in POSCAR format:
```
HoLu2Cu
1.0
-0.7788 1.9855 -2.6638
-3.2252 0.2053 1.0959
2.0065 6.9597 4.6010
Lu Cu Ho
2 1 1
Direct
0.0000 0.0000 0.8032
0.0000 0.0000 0.1968
0.5000 0.5000 0.0000
0.5000 0.5000 0.5000
```

Question: which arrangement is favored energetically? Ranking from most to least stable: (2), (1).

(1)
Computed, not measured: a geometry-optimized HoMg3Cu structure at the PBE level of DFT.

The structure in POSCAR format:
```
HoMg3Cu
1.0
-1.6395 -1.5374 3.6879
-1.7648 -6.2852 -3.4047
6.7715 -0.3321 2.8719
Cu Mg Ho
2 6 2
Direct
0.5000 0.6861 0.6861
0.5000 0.3139 0.3139
0.0000 0.9347 0.6748
0.5000 0.0000 0.0000
0.0000 0.3252 0.0653
0.0000 0.0653 0.3252
0.0000 0.6748 0.9347
0.0000 0.5000 0.5000
0.5000 0.7069 0.2931
0.5000 0.2931 0.7069
```

(2)
Computed, not measured: a geometry-optimized HoMg3Cu structure at the PBE level of DFT.

The structure in POSCAR format:
```
HoMg3Cu
1.0
-4.6017 1.5578 0.4732
-1.3101 -4.3855 1.6964
0.9665 1.4723 4.5524
Mg Cu Ho
3 1 1
Direct
0.0000 0.5000 0.0000
0.5000 0.0000 0.0000
0.0000 0.0000 0.5000
0.0000 0.0000 0.0000
0.5000 0.5000 0.5000
```

Question: which arrangement is favored energetically? Ranking from most to least stable: (1), (2).

(1)
Computed, not measured: a geometry-optimized Ho2MgCu3 structure at the PBE level of DFT.

The structure in POSCAR format:
```
Ho2MgCu3
1.0
-0.8091 -2.1890 2.4271
2.6185 -1.9305 -0.8682
5.8616 5.0310 6.4916
Cu Ho Mg
3 2 1
Direct
0.0000 0.0000 0.6486
0.0000 0.0000 0.0000
0.0000 0.0000 0.3514
0.5000 0.5000 0.1748
0.5000 0.5000 0.8252
0.5000 0.5000 0.5000
```

(2)
Computed, not measured: a geometry-optimized Ho2MgCu3 structure at the PBE level of DFT.

The structure in POSCAR format:
```
Ho2MgCu3
1.0
-3.4388 -1.5987 2.8872
-0.4399 -0.4766 -4.7219
5.2687 -10.3354 0.5524
Ho Cu Mg
4 6 2
Direct
0.0000 0.0000 0.0000
0.6667 0.3333 0.8213
0.3333 0.6667 0.1787
0.0000 0.0000 0.5000
0.3333 0.6667 0.4241
0.0000 0.0000 0.7470
0.6667 0.3333 0.5759
0.6667 0.3333 0.0825
0.3333 0.6667 0.9175
0.0000 0.0000 0.2530
0.6667 0.3333 0.3360
0.3333 0.6667 0.6640
```

Question: which arrangement is favored energetically? Ranking from most to least stable: (2), (1).

(1)
Computed, not measured: a geometry-optimized HoMg4Cu2 structure at the PBE level of DFT.

The structure in POSCAR format:
```
HoMg4Cu2
1.0
4.1767 0.0000 0.0000
0.0000 4.1760 0.0000
0.0000 -2.0880 8.1864
Mg Ho Cu
4 1 2
Direct
0.5000 0.1745 0.3490
0.0000 0.3255 0.6510
0.0000 0.6745 0.3490
0.5000 0.8255 0.6510
0.0000 0.0000 0.0000
0.5000 0.4277 0.8554
0.5000 0.5723 0.1446
```

(2)
Computed, not measured: a geometry-optimized HoMg4Cu2 structure at the PBE level of DFT.

The structure in POSCAR format:
```
HoMg4Cu2
1.0
-2.9738 1.6328 0.4011
-3.0300 -3.5969 -7.8230
-3.3169 -7.1657 4.5793
Cu Mg Ho
4 8 2
Direct
0.5000 0.3170 0.3170
0.5000 0.6830 0.6830
0.0000 0.8170 0.1830
0.0000 0.1830 0.8170
0.0000 0.0842 0.3176
0.5000 0.4158 0.8176
0.5000 0.1824 0.5842
0.0000 0.3176 0.0842
0.0000 0.9158 0.6824
0.5000 0.8176 0.4158
0.5000 0.5842 0.1824
0.0000 0.6824 0.9158
0.0000 0.5000 0.5000
0.5000 0.0000 0.0000
```

Question: which arrangement is favored energetically? Ranking from most to least stable: (2), (1).

(1)
Computed, not measured: a geometry-optimized TbHoMgCu structure at the PBE level of DFT.

The structure in POSCAR format:
```
TbHoMgCu
1.0
-3.7542 -3.4471 0.5063
-1.3727 -1.6258 4.6589
-4.5137 1.4007 1.9742
Ho Tb Cu Mg
1 1 1 1
Direct
0.5000 0.5000 0.5000
0.0000 0.0000 0.0000
0.2500 0.2500 0.2500
0.7500 0.7500 0.7500
```

(2)
Computed, not measured: a geometry-optimized TbHoMgCu structure at the PBE level of DFT.

The structure in POSCAR format:
```
TbHoMgCu
1.0
3.4877 0.0000 0.0000
0.0000 3.4877 0.0000
0.0000 0.0000 7.9883
Mg Tb Ho Cu
1 1 1 1
Direct
0.5000 0.5000 0.1039
0.0000 0.0000 0.3948
0.0000 0.0000 0.8170
0.5000 0.5000 0.6122
```

Question: which arrangement is favored energetically? Ranking from most to least stable: (2), (1).

(1)
Computed, not measured: a geometry-optimized YHoMgCu structure at the PBE level of DFT.

The structure in POSCAR format:
```
YHoMgCu
1.0
5.1223 0.0000 0.0000
2.5611 4.4360 0.0000
2.5611 1.4787 4.1823
Y Cu Mg Ho
1 1 1 1
Direct
0.0000 0.0000 0.0000
0.7500 0.7500 0.7500
0.2500 0.2500 0.2500
0.5000 0.5000 0.5000
```

(2)
Computed, not measured: a geometry-optimized YHoMgCu structure at the PBE level of DFT.

The structure in POSCAR format:
```
YHoMgCu
1.0
3.4921 0.0000 0.0000
0.0000 3.4921 0.0000
0.0000 0.0000 7.9690
Cu Ho Y Mg
1 1 1 1
Direct
0.0000 0.0000 0.5757
0.5000 0.5000 0.7814
0.5000 0.5000 0.3585
0.0000 0.0000 0.0691
```

Question: which arrangement is favored energetically? Ranking from most to least stable: (2), (1).